<P>
The following is a GGA-PBE calculation of a relaxed structure of Pm2TlTe, from Alexandria.

Cell and atoms, written as CIF:
```
data_Pm2TlTe
_chemical_formula_sum 'Pm2 Tl1 Te1'
_cell_length_a 3.751
_cell_length_b 3.751
_cell_length_c 8.308
_cell_angle_alpha 90.00
_cell_angle_beta 90.00
_cell_angle_gamma 90.00
_symmetry_space_group_name_H-M 'P 4/m m m'
_symmetry_Int_Tables_number 123
_symmetry_space_group_name_Hall '-P 4 2'
loop_
_atom_site_label
_atom_site_type_symbol
_atom_site_fract_x
_atom_site_fract_y
_atom_site_fract_z
_atom_site_occupancy
Pm1 Pm 0.000 0.000 0.239 1
Tl1 Tl 0.500 0.500 0.500 1
Te1 Te 0.500 0.500 0.000 1
```

Values from the calculation:
**Total magnetization**: 0.000 μB/cell
**V**: 29.23 Å³ per atom



<Q>
The following is a GGA-PBE calculation of a relaxed structure of Pm2TlTe, from Alexandria.

Cell and atoms, written as CIF:
```
data_Pm2TlTe
_chemical_formula_sum 'Pm6 Tl3 Te3'
_cell_length_a 4.1798
_cell_length_b 4.1798
_cell_length_c 25.6212
_cell_angle_alpha 90.00
_cell_angle_beta 90.00
_cell_angle_gamma 120.00
_symmetry_space_group_name_H-M 'R 3 m'
_symmetry_Int_Tables_number 160
_symmetry_space_group_name_Hall 'R 3 -2"'
loop_
_atom_site_label
_atom_site_type_symbol
_atom_site_fract_x
_atom_site_fract_y
_atom_site_fract_z
_atom_site_occupancy
Pm1 Pm 0.0000 0.0000 0.0000 1
Pm2 Pm 0.0000 0.0000 0.1777 1
Tl1 Tl 0.0000 0.0000 0.7561 1
Te1 Te 0.0000 0.0000 0.5878 1
```

Values from the calculation:
**Total magnetization**: 0.000 μB/cell
**V**: 32.30 Å³ per atom



<R>
The following is a GGA-PBE calculation of a relaxed structure of Pm2TlTe, from Alexandria.

Cell and atoms, written as CIF:
```
data_Pm2TlTe
_chemical_formula_sum 'Pm8 Tl4 Te4'
_cell_length_a 7.770
_cell_length_b 7.770
_cell_length_c 7.770
_cell_angle_alpha 90.00
_cell_angle_beta 90.00
_cell_angle_gamma 90.00
_symmetry_space_group_name_H-M 'F m -3 m'
_symmetry_Int_Tables_number 225
_symmetry_space_group_name_Hall '-F 4 2 3'
loop_
_atom_site_label
_atom_site_type_symbol
_atom_site_fract_x
_atom_site_fract_y
_atom_site_fract_z
_atom_site_occupancy
Pm1 Pm 0.250 0.250 0.250 1
Tl1 Tl 0.000 0.000 0.000 1
Te1 Te 0.000 0.000 0.500 1
```

Values from the calculation:
**Total magnetization**: 0.000 μB/cell
**V**: 29.31 Å³ per atom



<S>
The following is a GGA-PBE calculation of a relaxed structure of Pm2TlTe, from Alexandria.

Cell and atoms, written as CIF:
```
data_Pm2TlTe
_chemical_formula_sum 'Pm4 Tl2 Te2'
_cell_length_a 7.452
_cell_length_b 4.311
_cell_length_c 8.345
_cell_angle_alpha 90.00
_cell_angle_beta 107.40
_cell_angle_gamma 90.00
_symmetry_space_group_name_H-M 'C 1 2/m 1'
_symmetry_Int_Tables_number 12
loop_
_symmetry_equiv_pos_as_xyz
'x,y,z'
'-x,-y,-z'
'-x,y,-z'
'x,-y,z'
'x+1/2,y+1/2,z'
'-x+1/2,-y+1/2,-z'
'-x+1/2,y+1/2,-z'
'x+1/2,-y+1/2,z'
loop_
_atom_site_label
_atom_site_type_symbol
_atom_site_fract_x
_atom_site_fract_y
_atom_site_fract_z
_atom_site_occupancy
Pm1 Pm 0.248 0.000 0.245 1
Tl1 Tl 0.000 0.000 0.500 1
Te1 Te 0.000 0.500 0.000 1
```

Values from the calculation:
**Total magnetization**: 0.000 μB/cell
**V**: 31.98 Å³ per atom



Unit: eV/atom. Relative energies: <P> 0.105; <Q> 0.092; <R> 0.227; <S> 0.000.



<P>
The following is a GGA-PBE calculation of a relaxed structure of Pm3TlTe, from Alexandria.

Cell and atoms, written as CIF:
```
data_Pm3TlTe
_chemical_formula_sum 'Pm12 Tl4 Te4'
_cell_length_a 8.380
_cell_length_b 4.590
_cell_length_c 16.693
_cell_angle_alpha 90.00
_cell_angle_beta 90.00
_cell_angle_gamma 90.00
_symmetry_space_group_name_H-M 'P n m a'
_symmetry_Int_Tables_number 62
loop_
_symmetry_equiv_pos_as_xyz
'x,y,z'
'-x,-y,-z'
'-x+1/2,-y,z+1/2'
'x+1/2,y,-z+1/2'
'x+1/2,-y+1/2,-z+1/2'
'-x+1/2,y+1/2,z+1/2'
'-x,y+1/2,-z'
'x,-y+1/2,z'
loop_
_atom_site_label
_atom_site_type_symbol
_atom_site_fract_x
_atom_site_fract_y
_atom_site_fract_z
_atom_site_occupancy
Pm1 Pm 0.012 0.250 0.109 1
Pm2 Pm 0.131 0.250 0.556 1
Pm3 Pm 0.185 0.750 0.265 1
Tl1 Tl 0.087 0.750 0.694 1
Te1 Te 0.219 0.250 0.949 1
```

Values from the calculation:
**Total magnetization**: 0.000 μB/cell
**V**: 32.10 Å³ per atom



<Q>
The following is a GGA-PBE calculation of a relaxed structure of Pm3TlTe, from Alexandria.

Cell and atoms, written as CIF:
```
data_Pm3TlTe
_chemical_formula_sum 'Pm24 Tl8 Te8'
_cell_length_a 16.200
_cell_length_b 11.556
_cell_length_c 7.236
_cell_angle_alpha 90.00
_cell_angle_beta 106.12
_cell_angle_gamma 90.00
_symmetry_space_group_name_H-M 'C 1 2/c 1'
_symmetry_Int_Tables_number 15
loop_
_symmetry_equiv_pos_as_xyz
'x,y,z'
'-x,-y,-z'
'-x,y,-z+1/2'
'x,-y,z+1/2'
'x+1/2,y+1/2,z'
'-x+1/2,-y+1/2,-z'
'-x+1/2,y+1/2,-z+1/2'
'x+1/2,-y+1/2,z+1/2'
loop_
_atom_site_label
_atom_site_type_symbol
_atom_site_fract_x
_atom_site_fract_y
_atom_site_fract_z
_atom_site_occupancy
Pm1 Pm 0.093 0.057 0.417 1
Pm2 Pm 0.106 0.238 0.960 1
Pm3 Pm 0.167 0.400 0.565 1
Tl1 Tl 0.000 0.290 0.250 1
Tl2 Tl 0.000 0.454 0.750 1
Te1 Te 0.238 0.140 0.760 1
```

Values from the calculation:
**Total magnetization**: 0.004 μB/cell
**V**: 32.54 Å³ per atom



Unit: eV/atom. Relative energies: <P> 0.000; <Q> 0.148.